1.
Here is crystalline YZr3Co at its relaxed geometry from the Alexandria database. Energies are from PBE.

The relative energy among the computed polymorphs comes out at 1.726 eV per atom. Its crystal system is cubic. Its formation energy from the elements is 1.83 eV per atom. The calculation puts the density of states at the Fermi level at 7.7 states/eV/cell.

The structure belongs to space group Pm-3m (No. 221); the cell edges are 5.1341, 5.1341 and 5.1341 Å and the angles 90.00°, 90.00° and 90.00°. The asymmetric unit holds Y at (0.0000, 0.0000, 0.0000), Zr at (0.0000, 0.0000, 0.5000) and Co at (0.5000, 0.5000, 0.5000).



2.
Here is crystalline YZrCo4 at its relaxed geometry from the Alexandria database. Energies are from PBE.

Its crystal system is cubic. Its formation energy from the elements is -0.21 eV per atom. The calculation puts the density of states at the Fermi level at 30.5 states/eV/cell.

The structure belongs to space group F-43m (No. 216); the cell edges are 7.0494, 7.0494 and 7.0494 Å and the angles 90.00°, 90.00° and 90.00°. The asymmetric unit holds Y at (0.0000, 0.0000, 0.0000), Zr at (0.2500, 0.2500, 0.7500) and Co at (0.1247, 0.1247, 0.3753).



3.
Here is crystalline YZr3Co at its relaxed geometry from the Alexandria database. Energies are from PBE.

The relative energy among the computed polymorphs comes out at 0.000 eV per atom. Its crystal system is cubic. Its formation energy from the elements is 0.10 eV per atom. The calculation puts the density of states at the Fermi level at 8.2 states/eV/cell.

The structure belongs to space group Pm-3m (No. 221); the cell edges are 4.9405, 4.9405 and 4.9405 Å and the angles 90.00°, 90.00° and 90.00°. The asymmetric unit holds Y at (0.0000, 0.0000, 0.0000), Zr at (0.0000, 0.5000, 0.5000) and Co at (0.5000, 0.5000, 0.5000).



4.
Here is crystalline Y3ZrCo at its relaxed geometry from the Alexandria database. Energies are from PBE.

Its crystal system is cubic. Its formation energy from the elements is 0.20 eV per atom. The calculation puts the density of states at the Fermi level at 5.0 states/eV/cell.

The structure belongs to space group Pm-3m (No. 221); the cell edges are 5.1982, 5.1982 and 5.1982 Å and the angles 90.00°, 90.00° and 90.00°. The asymmetric unit holds Y at (0.0000, 0.0000, 0.5000), Zr at (0.5000, 0.5000, 0.5000) and Co at (0.0000, 0.0000, 0.0000).



5.
Here is crystalline YZrCo at its relaxed geometry from the Alexandria database. Energies are from PBE.

The relative energy among the computed polymorphs comes out at 0.201 eV per atom. Its crystal system is cubic. Its formation energy from the elements is 0.05 eV per atom. The calculation puts the density of states at the Fermi level at 12.6 states/eV/cell.

The structure belongs to space group F-43m (No. 216); the cell edges are 6.4424, 6.4424 and 6.4424 Å and the angles 90.00°, 90.00° and 90.00°. The asymmetric unit holds Y at (0.0000, 0.0000, 0.0000), Zr at (0.0000, 0.0000, 0.5000) and Co at (0.2500, 0.2500, 0.7500).



6.
Here is crystalline Yb4Co at its relaxed geometry from the Alexandria database. Energies are from PBE.

Its crystal system is cubic. Its formation energy from the elements is 0.28 eV per atom. The calculation puts the density of states at the Fermi level at 384.1 states/eV/cell.

The structure belongs to space group Fd-3m (No. 227, origin choice 2); the cell edges are 10.8385, 10.8385 and 10.8385 Å and the angles 90.00°, 90.00° and 90.00°. The asymmetric unit holds Yb at (0.0079, 0.0079, 0.2421) and Co at (0.1250, 0.1250, 0.6250).



7.
Here is crystalline YbCo2 at its relaxed geometry from the Alexandria database. Energies are from PBE.

Its crystal system is cubic. Its formation energy from the elements is -0.07 eV per atom. The calculation puts the density of states at the Fermi level at 30.0 states/eV/cell.

The structure belongs to space group Fd-3m (No. 227, origin choice 2); the cell edges are 7.1663, 7.1663 and 7.1663 Å and the angles 90.00°, 90.00° and 90.00°. The asymmetric unit holds Yb at (0.1250, 0.1250, 0.1250) and Co at (0.0000, 0.0000, 0.5000).



8.
Here is crystalline YbCo6 at its relaxed geometry from the Alexandria database. Energies are from PBE.

Its crystal system is cubic. Its formation energy from the elements is 0.58 eV per atom. The calculation puts the density of states at the Fermi level at 42.7 states/eV/cell.

The structure belongs to space group Im-3m (No. 229); the cell edges are 6.1961, 6.1961 and 6.1961 Å and the angles 90.00°, 90.00° and 90.00°. The asymmetric unit holds Yb at (0.0000, 0.0000, 0.0000) and Co at (0.0000, 0.2500, 0.5000).



9.
Here is crystalline Zn7Co6 at its relaxed geometry from the Alexandria database. Energies are from PBE.

Its crystal system is trigonal. Its formation energy from the elements is 0.21 eV per atom. The calculation puts the density of states at the Fermi level at 40.8 states/eV/cell.

The structure belongs to space group R-3m (No. 166, hexagonal axes); the cell edges are 4.8133, 4.8133 and 25.0675 Å and the angles 90.00°, 90.00° and 120.00°. The asymmetric unit holds Zn at (0.0000, 0.0000, 0.0000), Zn at (0.0042, 0.5021, 0.4141), Co at (0.0000, 0.0000, 0.1668), Co at (0.0000, 0.0000, 0.3531) and Co at (0.0000, 0.0000, 0.4553).



10.
Here is crystalline Zn3Co at its relaxed geometry from the Alexandria database. Energies are from PBE.

Its crystal system is trigonal. Its formation energy from the elements is 0.03 eV per atom. The calculation puts the density of states at the Fermi level at 9.1 states/eV/cell.

The structure belongs to space group R-3m (No. 166, hexagonal axes); the cell edges are 8.4143, 8.4143 and 2.5951 Å and the angles 90.00°, 90.00° and 120.00°. The asymmetric unit holds Zn at (0.0000, 0.5000, 0.0000) and Co at (0.0000, 0.0000, 0.0000).



11.
Here is crystalline ZnCo2 at its relaxed geometry from the Alexandria database. Energies are from PBE.

Its crystal system is cubic. Its formation energy from the elements is 0.83 eV per atom. The calculation puts the density of states at the Fermi level at 17.8 states/eV/cell.

The structure belongs to space group Pa-3 (No. 205); the cell edges are 5.5744, 5.5744 and 5.5744 Å and the angles 90.00°, 90.00° and 90.00°. The asymmetric unit holds Zn at (0.0000, 0.0000, 0.0000) and Co at (0.1147, 0.6147, 0.8853).



12.
Here is crystalline ZnCo5 at its relaxed geometry from the Alexandria database. Energies are from PBE.

Its crystal system is orthorhombic. Its formation energy from the elements is 0.03 eV per atom. The calculation puts the density of states at the Fermi level at 14.7 states/eV/cell.

The structure belongs to space group Cmmm (No. 65); the cell edges are 3.5888, 10.5204 and 3.5985 Å and the angles 90.00°, 90.00° and 90.00°. The asymmetric unit holds Zn at (0.0000, 0.0000, 0.0000), Co at (0.0000, 0.1706, 0.5000), Co at (0.0000, 0.3271, 0.0000) and Co at (0.0000, 0.5000, 0.5000).



> Among the records above, which one has the lowest density of states at the Fermi level?

Y3ZrCo